1.
## PrNpRu2 (GGA-PBE)

Data for PrNpRu2 after structural relaxation.

Results
Its total energy is -147.06 eV/cell. As for the density of states at the Fermi level: 27.6 states/eV/cell. The calculation puts the energy of formation from the pure elements at -0.49 eV/f.u.

a b c (Å): 5.0168 6.5831 10.4582
angles (deg): 90.00 90.00 90.00
With the nearest neighbours (Å) after each atom.
Element x y z (fractional)
Ru (0.2500, 0.2570, 0.9745)  1 Np 2.31
Ru (0.7500, 0.1166, 0.8580)  1 Np 2.34
Ru (0.2500, 0.3834, 0.3580)  1 Np 2.34
Ru (0.2500, 0.7570, 0.5255)  1 Np 2.31
Ru (0.7500, 0.7430, 0.0255)  1 Np 2.31
Ru (0.2500, 0.8834, 0.1420)  1 Np 2.34
Ru (0.7500, 0.6166, 0.6420)  1 Np 2.34
Ru (0.7500, 0.2430, 0.4745)  1 Np 2.31
Pr (0.2500, 0.8271, 0.8374)  9 Ru 3.16-3.52, 3 Np 3.48
Pr (0.7500, 0.1729, 0.1626)  9 Ru 3.16-3.52, 3 Np 3.48
Pr (0.7500, 0.6729, 0.3374)  9 Ru 3.16-3.52, 3 Np 3.48
Pr (0.2500, 0.3271, 0.6626)  9 Ru 3.16-3.52, 3 Np 3.48
Np (0.2500, 0.5303, 0.1129)  2 Ru 2.31-2.34
Np (0.7500, 0.4697, 0.8871)  2 Ru 2.31-2.34
Np (0.7500, 0.9697, 0.6129)  2 Ru 2.31-2.34
Np (0.2500, 0.0303, 0.3871)  2 Ru 2.31-2.34


2.
## PrNpRu4 (GGA-PBE)

Data for PrNpRu4 after structural relaxation.

Results
Its total energy is -54.97 eV/cell. As for the density of states at the Fermi level: 11.0 states/eV/cell. The calculation puts the energy of formation from the pure elements at -0.14 eV/f.u.

a b c (Å): 5.3674 5.3674 5.3674
angles (deg): 60.00 60.00 60.00
With the nearest neighbours (Å) after each atom.
Element x y z (fractional)
Ru (0.6255, 0.6255, 0.6255)  6 Ru 2.67-2.69
Ru (0.6255, 0.6255, 0.1236)  6 Ru 2.67-2.69
Ru (0.6255, 0.1236, 0.6255)  6 Ru 2.67-2.69
Ru (0.1236, 0.6255, 0.6255)  6 Ru 2.67-2.69
Np (0.0000, 0.0000, 0.0000)  12 Ru 3.15, 4 Pr 3.29
Pr (0.2500, 0.2500, 0.2500)  12 Ru 3.15, 4 Np 3.29


Q: Which value of total energy does entry 2 give?
A: -54.97 eV/cell